# 1
This record from Alexandria via LeMat-Bulk describes PmTmGa after structural relaxation. The functional is GGA-PBE.

a = 4.9877 Å, b = 4.9877 Å, c = 3.7157 Å
α = 90.00°, β = 90.00°, γ = 120.00°
Closest atoms and distances in Å follow each position.
Space group P3m1 (No. 156)
Symmetry-distinct sites (fractional):
Pm (0.0000, 0.0000, 0.0000) (multiplicity 1)  3 Ga 3.19, 6 Tm 3.36-3.49
Tm (0.6667, 0.3333, 0.4678) (multiplicity 1)  3 Ga 2.94
Ga (0.3333, 0.6667, 0.6324) (multiplicity 1)  3 Tm 2.94, 3 Pm 3.19

Final energy   -4.36 eV per atom
Relative energy among the computed polymorphs   131.4 meV/atom
DFT formation energy   -0.2772 eV per atom
DOS(E_F)   0.49 states/eV/atom

# 2
This record from Alexandria via LeMat-Bulk describes CsTiPb2Br8 after structural relaxation. The functional is GGA-PBE.

a = 7.4684 Å, b = 7.5188 Å, c = 8.4729 Å
α = 75.11°, β = 89.36°, γ = 87.87°
Closest atoms and distances in Å follow each position.
Space group P-1 (No. 2)
Symmetry-distinct sites (fractional):
Cs (0.0000, 0.0000, 0.0000) (multiplicity 1)  8 Br 3.74-4.11
Ti (0.0000, 0.5000, 0.5000) (multiplicity 1)  6 Br 2.59-2.61
Pb (0.4564, 0.4867, 0.2622) (multiplicity 2)  5 Br 2.88-3.19
Br (0.0670, 0.4170, 0.2248) (multiplicity 2)  1 Ti 2.60
Br (0.2396, 0.7530, 0.4252) (multiplicity 2)  1 Ti 2.61
Br (0.2509, 0.2651, 0.6355) (multiplicity 2)  1 Ti 2.59
Br (0.4472, 0.7660, 0.9570) (multiplicity 2)  2 Pb 2.88-3.04

Final energy   -3.62 eV per atom
DOS(E_F)   0.55 states/eV/atom

# 3
This record from Alexandria via LeMat-Bulk describes LaPdC2 after structural relaxation. The functional is GGA-PBE.

a = 6.1169 Å, b = 6.1169 Å, c = 6.1169 Å
α = 90.00°, β = 90.00°, γ = 90.00°
Closest atoms and distances in Å follow each position.
Space group Fm-3m (No. 225)
Symmetry-distinct sites (fractional):
La (0.0000, 0.0000, 0.0000) (multiplicity 4)  8 C 2.65
Pd (0.0000, 0.0000, 0.5000) (multiplicity 4)  8 C 2.65
C (0.2500, 0.2500, 0.2500) (multiplicity 8)  4 Pd 2.65, 4 La 2.65

Final energy   -6.09 eV per atom
DFT formation energy   1.0513 eV per atom
DOS(E_F)   1.19 states/eV/atom

# 4
This record from Alexandria via LeMat-Bulk describes Li2CoPd after structural relaxation. The functional is GGA-PBE.

a = 5.8605 Å, b = 5.8605 Å, c = 5.8605 Å
α = 90.00°, β = 90.00°, γ = 90.00°
Closest atoms and distances in Å follow each position.
Space group Fm-3m (No. 225)
Symmetry-distinct sites (fractional):
Li (0.2500, 0.2500, 0.2500) (multiplicity 8)  4 Pd 2.54, 4 Co 2.54
Co (0.0000, 0.0000, 0.0000) (multiplicity 4)  8 Li 2.54
Pd (0.0000, 0.0000, 0.5000) (multiplicity 4)  8 Li 2.54

Final energy   -3.95 eV per atom
Relative energy among the computed polymorphs   64.5 meV/atom
DFT formation energy   0.0835 eV per atom
DOS(E_F)   2.19 states/eV/atom

# 5
This record from Alexandria via LeMat-Bulk describes TaSb2As after structural relaxation. The functional is GGA-PBE.

a = 3.8145 Å, b = 4.8258 Å, c = 10.2948 Å
α = 90.00°, β = 90.00°, γ = 90.00°
Closest atoms and distances in Å follow each position.
Space group Cmm2 (No. 35)
Symmetry-distinct sites (fractional):
Ta (0.0000, 0.0000, 0.0000) (multiplicity 2)  2 As 2.64, 2 Sb 2.93
Sb (0.0000, 0.0000, 0.5237) (multiplicity 2)  4 Sb 3.08
Sb (0.0000, 0.5000, 0.2162) (multiplicity 2)  4 Ta 2.93-3.28, 4 Sb 3.08
As (0.0000, 0.5000, 0.8225) (multiplicity 2)  2 Ta 2.64

Final energy   -6.04 eV per atom
DOS(E_F)   0.62 states/eV/atom

# 6
This record from Alexandria via LeMat-Bulk describes PmGa2Pd2Rh after structural relaxation. The functional is GGA-PBE.

a = 3.9219 Å, b = 3.9219 Å, c = 18.7456 Å
α = 90.00°, β = 90.00°, γ = 90.00°
Closest atoms and distances in Å follow each position.
Space group I4/mmm (No. 139)
Symmetry-distinct sites (fractional):
Pm (0.0000, 0.0000, 0.0000) (multiplicity 2)  4 Rh 2.77, 2 Ga 3.07
Ga (0.0000, 0.0000, 0.1640) (multiplicity 4)  4 Pd 2.54
Pd (0.0000, 0.5000, 0.2500) (multiplicity 4)  4 Ga 2.54, 4 Pd 2.77
Rh (0.0000, 0.0000, 0.5000) (multiplicity 2)  4 Pm 2.77

Final energy   -4.80 eV per atom
DFT formation energy   -0.0447 eV per atom
DOS(E_F)   0.76 states/eV/atom

# 7
This record from Alexandria via LeMat-Bulk describes Ac2Ga4GeRh3 after structural relaxation. The functional is GGA-PBE.

a = 4.4492 Å, b = 4.4492 Å, c = 10.3454 Å
α = 90.00°, β = 90.00°, γ = 90.00°
Closest atoms and distances in Å follow each position.
Space group P-4m2 (No. 115)
Symmetry-distinct sites (fractional):
Ac (0.0000, 0.5000, 0.2451) (multiplicity 2)  8 Ga 3.35-3.45, 2 Ge 3.37, 6 Rh 3.37-3.44
Ga (0.0000, 0.0000, 0.5000) (multiplicity 1)  4 Rh 2.55
Ga (0.0000, 0.5000, 0.8659) (multiplicity 2)  3 Rh 2.53-2.62, 2 Ge 2.62
Ga (0.5000, 0.5000, 0.5000) (multiplicity 1)  4 Rh 2.55
Ge (0.5000, 0.5000, 0.0000) (multiplicity 1)  4 Ga 2.62
Rh (0.0000, 0.0000, 0.0000) (multiplicity 1)  4 Ga 2.62
Rh (0.0000, 0.5000, 0.6211) (multiplicity 2)  5 Ga 2.53-2.55

Final energy   -5.39 eV per atom
DFT formation energy   -0.6874 eV per atom
DOS(E_F)   0.75 states/eV/atom

# 8
This record from Alexandria via LeMat-Bulk describes Si2AuCF after structural relaxation. The functional is GGA-PBE.

a = 5.1810 Å, b = 5.1810 Å, c = 3.8151 Å
α = 90.00°, β = 90.00°, γ = 90.00°
Closest atoms and distances in Å follow each position.
Space group P4/mmm (No. 123)
Symmetry-distinct sites (fractional):
Si (0.0000, 0.5000, 0.0000) (multiplicity 2)  2 Au 2.59
Au (0.0000, 0.0000, 0.0000) (multiplicity 1)  2 C 1.91
C (0.0000, 0.0000, 0.5000) (multiplicity 1)  2 Au 1.91
F (0.5000, 0.5000, 0.5000) (multiplicity 1)  8 Si 3.22

Final energy   -3.80 eV per atom
DOS(E_F)   0.72 states/eV/atom

# 9
This record from Alexandria via LeMat-Bulk describes SrLaMg2 after structural relaxation. The functional is GGA-PBE.

a = 11.3276 Å, b = 3.6838 Å, c = 6.8625 Å
α = 90.00°, β = 99.57°, γ = 90.00°
Closest atoms and distances in Å follow each position.
Space group C2/m (No. 12)
Symmetry-distinct sites (fractional):
Sr (0.0000, 0.0000, 0.0000) (multiplicity 2)  6 Mg 3.63-3.66, 2 Sr 3.68, 4 La 3.89
La (0.0000, 0.5000, 0.5000) (multiplicity 2)  6 Mg 3.47-3.49, 2 La 3.68
Mg (0.2473, 0.0000, 0.7244) (multiplicity 4)  3 La 3.47-3.49, 4 Mg 3.60-3.68, 3 Sr 3.63-3.66

Final energy   -2.33 eV per atom
DFT formation energy   0.1241 eV per atom
DOS(E_F)   1.27 states/eV/atom

# 10
This record from Alexandria via LeMat-Bulk describes LaIrSe3 after structural relaxation. The functional is GGA-PBE.

a = 4.9446 Å, b = 4.9446 Å, c = 4.9446 Å
α = 90.00°, β = 90.00°, γ = 90.00°
Closest atoms and distances in Å follow each position.
Space group Pm-3m (No. 221)
Symmetry-distinct sites (fractional):
La (0.0000, 0.0000, 0.0000) (multiplicity 1)  12 Se 3.50
Ir (0.5000, 0.5000, 0.5000) (multiplicity 1)  6 Se 2.47
Se (0.0000, 0.5000, 0.5000) (multiplicity 3)  2 Ir 2.47

Final energy   -5.47 eV per atom
DOS(E_F)   1.23 states/eV/atom

# 11
This record from Alexandria via LeMat-Bulk describes Nd2SnGe3Pd4 after structural relaxation. The functional is GGA-PBE.

a = 4.3726 Å, b = 4.3726 Å, c = 10.5398 Å
α = 90.00°, β = 90.00°, γ = 90.00°
Closest atoms and distances in Å follow each position.
Space group P-4m2 (No. 115)
Symmetry-distinct sites (fractional):
Nd (0.0000, 0.5000, 0.2379) (multiplicity 2)  6 Ge 3.32-3.52, 8 Pd 3.33, 2 Sn 3.52
Sn (0.0000, 0.0000, 0.5000) (multiplicity 1)  4 Pd 2.66
Ge (0.0000, 0.5000, 0.8761) (multiplicity 2)  5 Pd 2.45-2.55
Ge (0.5000, 0.5000, 0.5000) (multiplicity 1)  4 Pd 2.66
Pd (0.0000, 0.0000, 0.0000) (multiplicity 1)  4 Ge 2.55
Pd (0.0000, 0.5000, 0.6436) (multiplicity 2)  3 Ge 2.45-2.66, 2 Sn 2.66
Pd (0.5000, 0.5000, 0.0000) (multiplicity 1)  4 Ge 2.55

Final energy   -5.62 eV per atom
DFT formation energy   -0.7992 eV per atom
DOS(E_F)   0.48 states/eV/atom

# 12
This record from Alexandria via LeMat-Bulk describes LiSiPOs2 after structural relaxation. The functional is GGA-PBE.

a = 4.3698 Å, b = 4.3698 Å, c = 4.6236 Å
α = 90.00°, β = 90.00°, γ = 90.00°
Closest atoms and distances in Å follow each position.
Space group P4/mmm (No. 123)
Symmetry-distinct sites (fractional):
Li (0.0000, 0.0000, 0.0000) (multiplicity 1)  4 Si 3.09, 8 Os 3.18
Si (0.5000, 0.5000, 0.0000) (multiplicity 1)  2 P 2.31
P (0.5000, 0.5000, 0.5000) (multiplicity 1)  4 Os 2.18, 2 Si 2.31
Os (0.0000, 0.5000, 0.5000) (multiplicity 2)  2 P 2.18

Final energy   -6.16 eV per atom
DOS(E_F)   0.39 states/eV/atom